Entry 1:
The following is a PBE calculation of Li2Cu2Ni after structural relaxation, from Alexandria. Values from VASP.

```
&SYSTEM
  ibrav = 0, nat = 10, ntyp = 3
/
ATOMIC_SPECIES
Li 6.94 Li.upf
Cu 63.55 Cu.upf
Ni 58.69 Ni.upf
ATOMIC_POSITIONS angstrom
Li 1.1794 0.0000 0.3949
Li -0.0247 2.0419 3.7661
Li 4.7267 2.0419 0.3949
Li 3.5226 0.0000 3.7661
Cu -0.0079 2.0419 1.3374
Cu 1.1626 0.0000 2.8236
Cu 3.5394 0.0000 1.3374
Cu 4.7099 2.0419 2.8236
Ni -1.1963 0.0000 2.0805
Ni 2.3510 2.0419 2.0805
CELL_PARAMETERS angstrom
7.0945 0.0000 0.0000
0.0000 4.0838 0.0000
-2.3925 0.0000 4.1610
```

Its density of states at the Fermi level is 3.39 states/eV per cell. The calculation puts the total magnetization at 0.00 μB per formula unit. For the formation energy, the calculation gives -0.026 eV per atom. Its energy above the most stable polymorph in this dataset is 0.000 eV/atom.

Entry 2:
The following is a PBE calculation of Li2Cu2Ni after structural relaxation, from Alexandria. Values from VASP.

```
&SYSTEM
  ibrav = 0, nat = 10, ntyp = 3
/
ATOMIC_SPECIES
Li 6.94 Li.upf
Cu 63.55 Cu.upf
Ni 58.69 Ni.upf
ATOMIC_POSITIONS angstrom
Li 0.4772 1.1968 0.0000
Li 0.4772 -1.1968 2.3167
Li 1.8207 7.0438 0.0000
Li 1.8207 4.6503 2.3167
Cu 2.7929 2.1966 0.0000
Cu 0.4950 3.6505 0.0000
Cu 1.8028 2.1966 2.3167
Cu -0.4950 3.6505 2.3167
Ni 2.2978 0.0000 1.1584
Ni 0.0000 5.8471 1.1584
CELL_PARAMETERS angstrom
-2.2978 5.8471 2.3167
2.2978 -5.8471 2.3167
2.2978 5.8471 -2.3167
```

Its density of states at the Fermi level is 6.24 states/eV per cell. The calculation puts the total magnetization at 0.00 μB per formula unit. For the formation energy, the calculation gives 0.029 eV per atom. Its energy above the most stable polymorph in this dataset is 0.055 eV/atom.